1.
The following is a PBE calculation of crystalline PmSm4Sn2 at its relaxed geometry, from Alexandria via LeMat-Bulk.

Structure (CIF):
```
data_PmSm4Sn2
_chemical_formula_sum 'Pm1 Sm4 Sn2'
_symmetry_space_group_name_H-M 'P 1'
_symmetry_Int_Tables_number 1
_cell_length_a 10.889
_cell_length_b 10.889
_cell_length_c 10.889
_cell_angle_alpha 27.58
_cell_angle_beta 27.58
_cell_angle_gamma 27.58
loop_
_symmetry_equiv_pos_as_xyz
'x,y,z'
loop_
_atom_site_label
_atom_site_type_symbol
_atom_site_fract_x
_atom_site_fract_y
_atom_site_fract_z
Pm1 Pm 0.000 0.000 0.000
Sm1 Sm 0.204 0.204 0.204
Sm2 Sm 0.391 0.391 0.391
Sm3 Sm 0.609 0.609 0.609
Sm4 Sm 0.796 0.796 0.796
Sn1 Sn 0.101 0.101 0.101
Sn2 Sn 0.899 0.899 0.899
```

Symmetry: No. 166
Formation energy from the elements (eV/atom): -0.234


2.
The following is a PBE calculation of crystalline Pm12SmSn6 at its relaxed geometry, from Alexandria via LeMat-Bulk.

Structure (CIF):
```
data_Pm12SmSn6
_chemical_formula_sum 'Pm12 Sm1 Sn6'
_symmetry_space_group_name_H-M 'P 1'
_symmetry_Int_Tables_number 1
_cell_length_a 9.164
_cell_length_b 9.164
_cell_length_c 9.164
_cell_angle_alpha 107.51
_cell_angle_beta 107.51
_cell_angle_gamma 107.51
loop_
_symmetry_equiv_pos_as_xyz
'x,y,z'
loop_
_atom_site_label
_atom_site_type_symbol
_atom_site_fract_x
_atom_site_fract_y
_atom_site_fract_z
Pm1 Pm 0.030 0.335 0.892
Pm2 Pm 0.085 0.437 0.343
Pm3 Pm 0.108 0.970 0.665
Pm4 Pm 0.335 0.892 0.030
Pm5 Pm 0.343 0.085 0.437
Pm6 Pm 0.437 0.343 0.085
Pm7 Pm 0.563 0.657 0.915
Pm8 Pm 0.657 0.915 0.563
Pm9 Pm 0.665 0.108 0.970
Pm10 Pm 0.892 0.030 0.335
Pm11 Pm 0.915 0.563 0.657
Pm12 Pm 0.970 0.665 0.108
Sm1 Sm 0.000 0.000 0.000
Sn1 Sn 0.218 0.343 0.656
Sn2 Sn 0.343 0.656 0.218
Sn3 Sn 0.344 0.782 0.657
Sn4 Sn 0.656 0.218 0.343
Sn5 Sn 0.657 0.344 0.782
Sn6 Sn 0.782 0.657 0.344
```

Symmetry: No. 148
Formation energy from the elements (eV/atom): -0.276


3.
The following is a PBE calculation of crystalline Pm5SmSn5 at its relaxed geometry, from Alexandria via LeMat-Bulk.

Structure (CIF):
```
data_Pm5SmSn5
_chemical_formula_sum 'Pm5 Sm1 Sn5'
_symmetry_space_group_name_H-M 'P 1'
_symmetry_Int_Tables_number 1
_cell_length_a 7.883
_cell_length_b 7.883
_cell_length_c 8.654
_cell_angle_alpha 105.91
_cell_angle_beta 105.91
_cell_angle_gamma 47.19
loop_
_symmetry_equiv_pos_as_xyz
'x,y,z'
loop_
_atom_site_label
_atom_site_type_symbol
_atom_site_fract_x
_atom_site_fract_y
_atom_site_fract_z
Pm1 Pm 0.000 0.000 0.000
Pm2 Pm 0.332 0.332 0.166
Pm3 Pm 0.332 0.332 0.665
Pm4 Pm 0.668 0.668 0.335
Pm5 Pm 0.668 0.668 0.834
Sm1 Sm 0.000 0.000 0.500
Sn1 Sn 0.164 0.164 0.329
Sn2 Sn 0.165 0.165 0.835
Sn3 Sn 0.500 0.500 0.500
Sn4 Sn 0.835 0.835 0.165
Sn5 Sn 0.836 0.836 0.671
```

Symmetry: No. 12
Formation energy from the elements (eV/atom): -0.481


4.
The following is a PBE calculation of crystalline PmSmSn3 at its relaxed geometry, from Alexandria via LeMat-Bulk.

Structure (CIF):
```
data_PmSmSn3
_chemical_formula_sum 'Pm2 Sm2 Sn6'
_symmetry_space_group_name_H-M 'P 1'
_symmetry_Int_Tables_number 1
_cell_length_a 7.070
_cell_length_b 3.480
_cell_length_c 13.108
_cell_angle_alpha 90.00
_cell_angle_beta 105.63
_cell_angle_gamma 90.00
loop_
_symmetry_equiv_pos_as_xyz
'x,y,z'
loop_
_atom_site_label
_atom_site_type_symbol
_atom_site_fract_x
_atom_site_fract_y
_atom_site_fract_z
Pm1 Pm 0.158 0.000 0.318
Pm2 Pm 0.842 0.000 0.682
Sm1 Sm 0.350 0.500 0.701
Sm2 Sm 0.650 0.500 0.299
Sn1 Sn 0.000 0.500 0.500
Sn2 Sn 0.154 0.500 0.885
Sn3 Sn 0.268 0.500 0.115
Sn4 Sn 0.500 0.500 0.500
Sn5 Sn 0.732 0.500 0.885
Sn6 Sn 0.846 0.500 0.115
```

Symmetry: No. 10
Formation energy from the elements (eV/atom): -0.324


5.
The following is a PBE calculation of crystalline Pm2Sm8Sn at its relaxed geometry, from Alexandria via LeMat-Bulk.

Structure (CIF):
```
data_Pm2Sm8Sn
_chemical_formula_sum 'Pm2 Sm8 Sn1'
_symmetry_space_group_name_H-M 'P 1'
_symmetry_Int_Tables_number 1
_cell_length_a 9.522
_cell_length_b 9.522
_cell_length_c 8.058
_cell_angle_alpha 104.61
_cell_angle_beta 104.61
_cell_angle_gamma 30.41
loop_
_symmetry_equiv_pos_as_xyz
'x,y,z'
loop_
_atom_site_label
_atom_site_type_symbol
_atom_site_fract_x
_atom_site_fract_y
_atom_site_fract_z
Pm1 Pm 0.223 0.223 0.134
Pm2 Pm 0.777 0.777 0.866
Sm1 Sm 0.043 0.043 0.231
Sm2 Sm 0.135 0.135 0.676
Sm3 Sm 0.322 0.322 0.592
Sm4 Sm 0.411 0.411 0.062
Sm5 Sm 0.589 0.589 0.938
Sm6 Sm 0.678 0.678 0.408
Sm7 Sm 0.865 0.865 0.324
Sm8 Sm 0.957 0.957 0.769
Sn1 Sn 0.500 0.500 0.500
```

Symmetry: No. 12
Formation energy from the elements (eV/atom): -0.114


6.
The following is a PBE calculation of crystalline Pm2SmSn5 at its relaxed geometry, from Alexandria via LeMat-Bulk.

Structure (CIF):
```
data_Pm2SmSn5
_chemical_formula_sum 'Pm4 Sm2 Sn10'
_symmetry_space_group_name_H-M 'P 1'
_symmetry_Int_Tables_number 1
_cell_length_a 7.334
_cell_length_b 7.334
_cell_length_c 8.185
_cell_angle_alpha 90.00
_cell_angle_beta 90.00
_cell_angle_gamma 90.00
loop_
_symmetry_equiv_pos_as_xyz
'x,y,z'
loop_
_atom_site_label
_atom_site_type_symbol
_atom_site_fract_x
_atom_site_fract_y
_atom_site_fract_z
Pm1 Pm 0.000 0.500 0.000
Pm2 Pm 0.000 0.500 0.500
Pm3 Pm 0.500 0.000 0.000
Pm4 Pm 0.500 0.000 0.500
Sm1 Sm 0.000 0.000 0.413
Sm2 Sm 0.500 0.500 0.913
Sn1 Sn 0.000 0.000 0.012
Sn2 Sn 0.216 0.216 0.742
Sn3 Sn 0.216 0.784 0.742
Sn4 Sn 0.284 0.284 0.242
Sn5 Sn 0.284 0.716 0.242
Sn6 Sn 0.500 0.500 0.512
Sn7 Sn 0.716 0.284 0.242
Sn8 Sn 0.716 0.716 0.242
Sn9 Sn 0.784 0.216 0.742
Sn10 Sn 0.784 0.784 0.742
```

Symmetry: No. 107
Formation energy from the elements (eV/atom): -0.605


7.
The following is a PBE calculation of crystalline Pm2Sm2Sn3 at its relaxed geometry, from Alexandria via LeMat-Bulk.

Structure (CIF):
```
data_Pm2Sm2Sn3
_chemical_formula_sum 'Pm4 Sm4 Sn6'
_symmetry_space_group_name_H-M 'P 1'
_symmetry_Int_Tables_number 1
_cell_length_a 9.335
_cell_length_b 5.333
_cell_length_c 9.427
_cell_angle_alpha 90.00
_cell_angle_beta 109.73
_cell_angle_gamma 90.00
loop_
_symmetry_equiv_pos_as_xyz
'x,y,z'
loop_
_atom_site_label
_atom_site_type_symbol
_atom_site_fract_x
_atom_site_fract_y
_atom_site_fract_z
Pm1 Pm 0.120 0.000 0.365
Pm2 Pm 0.380 0.500 0.635
Pm3 Pm 0.620 0.500 0.365
Pm4 Pm 0.880 0.000 0.635
Sm1 Sm 0.128 0.500 0.880
Sm2 Sm 0.372 0.000 0.120
Sm3 Sm 0.628 0.000 0.880
Sm4 Sm 0.872 0.500 0.120
Sn1 Sn 0.000 0.000 0.000
Sn2 Sn 0.243 0.000 0.724
Sn3 Sn 0.257 0.500 0.276
Sn4 Sn 0.500 0.500 0.000
Sn5 Sn 0.743 0.500 0.724
Sn6 Sn 0.757 0.000 0.276
```

Symmetry: No. 12
Formation energy from the elements (eV/atom): -0.565


8.
The following is a PBE calculation of crystalline Pm2Sm2Sn7 at its relaxed geometry, from Alexandria via LeMat-Bulk.

Structure (CIF):
```
data_Pm2Sm2Sn7
_chemical_formula_sum 'Pm2 Sm2 Sn7'
_symmetry_space_group_name_H-M 'P 1'
_symmetry_Int_Tables_number 1
_cell_length_a 7.200
_cell_length_b 7.200
_cell_length_c 7.125
_cell_angle_alpha 90.00
_cell_angle_beta 90.00
_cell_angle_gamma 100.21
loop_
_symmetry_equiv_pos_as_xyz
'x,y,z'
loop_
_atom_site_label
_atom_site_type_symbol
_atom_site_fract_x
_atom_site_fract_y
_atom_site_fract_z
Pm1 Pm 0.220 0.780 0.000
Pm2 Pm 0.780 0.220 0.000
Sm1 Sm 0.312 0.312 0.500
Sm2 Sm 0.688 0.688 0.500
Sn1 Sn 0.000 0.000 0.299
Sn2 Sn 0.000 0.000 0.701
Sn3 Sn 0.000 0.500 0.296
Sn4 Sn 0.000 0.500 0.704
Sn5 Sn 0.500 0.000 0.296
Sn6 Sn 0.500 0.000 0.704
Sn7 Sn 0.500 0.500 0.000
```

Symmetry: No. 65
Formation energy from the elements (eV/atom): -0.209


9.
The following is a PBE calculation of crystalline Pm5Sm2Sn4 at its relaxed geometry, from Alexandria via LeMat-Bulk.

Structure (CIF):
```
data_Pm5Sm2Sn4
_chemical_formula_sum 'Pm5 Sm2 Sn4'
_symmetry_space_group_name_H-M 'P 1'
_symmetry_Int_Tables_number 1
_cell_length_a 13.669
_cell_length_b 13.669
_cell_length_c 7.544
_cell_angle_alpha 91.44
_cell_angle_beta 91.44
_cell_angle_gamma 14.95
loop_
_symmetry_equiv_pos_as_xyz
'x,y,z'
loop_
_atom_site_label
_atom_site_type_symbol
_atom_site_fract_x
_atom_site_fract_y
_atom_site_fract_z
Pm1 Pm 0.000 0.000 0.000
Pm2 Pm 0.265 0.265 0.777
Pm3 Pm 0.362 0.362 0.169
Pm4 Pm 0.638 0.638 0.831
Pm5 Pm 0.735 0.735 0.223
Sm1 Sm 0.410 0.410 0.702
Sm2 Sm 0.590 0.590 0.298
Sn1 Sn 0.174 0.174 0.503
Sn2 Sn 0.470 0.470 0.339
Sn3 Sn 0.530 0.530 0.661
Sn4 Sn 0.826 0.826 0.497
```

Symmetry: No. 12
Formation energy from the elements (eV/atom): -0.273


10.
The following is a PBE calculation of crystalline PmSmSn2 at its relaxed geometry, from Alexandria via LeMat-Bulk.

Structure (CIF):
```
data_PmSmSn2
_chemical_formula_sum 'Pm3 Sm3 Sn6'
_symmetry_space_group_name_H-M 'P 1'
_symmetry_Int_Tables_number 1
_cell_length_a 3.486
_cell_length_b 3.486
_cell_length_c 35.449
_cell_angle_alpha 90.00
_cell_angle_beta 90.00
_cell_angle_gamma 120.00
loop_
_symmetry_equiv_pos_as_xyz
'x,y,z'
loop_
_atom_site_label
_atom_site_type_symbol
_atom_site_fract_x
_atom_site_fract_y
_atom_site_fract_z
Pm1 Pm 0.000 0.000 0.000
Pm2 Pm 0.333 0.667 0.667
Pm3 Pm 0.667 0.333 0.333
Sm1 Sm 0.000 0.000 0.500
Sm2 Sm 0.333 0.667 0.167
Sm3 Sm 0.667 0.333 0.833
Sn1 Sn 0.000 0.000 0.411
Sn2 Sn 0.000 0.000 0.589
Sn3 Sn 0.333 0.667 0.078
Sn4 Sn 0.333 0.667 0.256
Sn5 Sn 0.667 0.333 0.744
Sn6 Sn 0.667 0.333 0.922
```

Symmetry: No. 166
Formation energy from the elements (eV/atom): -0.127


11.
The following is a PBE calculation of crystalline Pm2SmSn at its relaxed geometry, from Alexandria via LeMat-Bulk.

Structure (CIF):
```
data_Pm2SmSn
_chemical_formula_sum 'Pm2 Sm1 Sn1'
_symmetry_space_group_name_H-M 'P 1'
_symmetry_Int_Tables_number 1
_cell_length_a 4.909
_cell_length_b 4.909
_cell_length_c 4.916
_cell_angle_alpha 90.00
_cell_angle_beta 90.00
_cell_angle_gamma 90.00
loop_
_symmetry_equiv_pos_as_xyz
'x,y,z'
loop_
_atom_site_label
_atom_site_type_symbol
_atom_site_fract_x
_atom_site_fract_y
_atom_site_fract_z
Pm1 Pm 0.000 0.500 0.000
Pm2 Pm 0.500 0.000 0.000
Sm1 Sm 0.000 0.000 0.500
Sn1 Sn 0.500 0.500 0.500
```

Symmetry: No. 123
E above lowest polymorph (kcal/mol of atoms): 0.00
Formation energy from the elements (eV/atom): -0.448


Number 1: V 244 Å³/f.u., E_tot -33.274 eV/f.u.. Number 2: V 632 Å³/f.u., E_tot -90.991 eV/f.u.. Number 3: V 376 Å³/f.u., E_tot -53.782 eV/f.u.. Number 4: V 155 Å³/f.u., E_tot -23.100 eV/f.u.. Number 5: V 357 Å³/f.u., E_tot -52.507 eV/f.u.. Number 6: V 220 Å³/f.u., E_tot -39.074 eV/f.u.. Number 7: V 221 Å³/f.u., E_tot -34.904 eV/f.u.. Number 8: V 364 Å³/f.u., E_tot -49.258 eV/f.u.. Number 9: V 363 Å³/f.u., E_tot -52.207 eV/f.u.. Number 10: V 124 Å³/f.u., E_tot -17.985 eV/f.u.. Number 11: V 118 Å³/f.u., E_tot -20.017 eV/f.u..